Entry 1:
A plane-wave DFT calculation with PBE was carried out for a geometry-optimized Eu2InO structure.

a b c (Å): 3.6056 3.6056 28.3233
angles (deg): 90.00 90.00 120.00
Space group R-3m (No. 166, hexagonal axes)
Symmetry-distinct sites (fractional):
Eu: 0.0000 0.0000 0.1167 (multiplicity 6)
In: 0.0000 0.0000 0.0000 (multiplicity 3)
O: 0.0000 0.0000 0.5000 (multiplicity 3)

Results
The volume comes out at 26.57 Å³/atom. Its relative energy among the computed polymorphs is 0 meV per atom. The raw total energy comes out at -99.958 eV/cell. The formation energy without anion corrections comes out at -122.4 kJ per mole of atoms.


Entry 2:
A plane-wave DFT calculation with PBE was carried out for a geometry-optimized Dy5YZn4 structure.

a b c (Å): 3.570 3.570 19.330
angles (deg): 90.00 90.00 90.00
Space group P4/mmm (No. 123)
Symmetry-distinct sites (fractional):
Dy: 0.000 0.000 0.000 (multiplicity 1)
Dy: 0.000 0.000 0.183 (multiplicity 2)
Dy: 0.000 0.000 0.367 (multiplicity 2)
Y: 0.500 0.500 0.500 (multiplicity 1)
Zn: 0.500 0.500 0.093 (multiplicity 2)
Zn: 0.500 0.500 0.276 (multiplicity 2)

Results
The volume comes out at 24.63 Å³/atom. The raw total energy comes out at -37.270 eV/cell.


Entry 3:
A plane-wave DFT calculation with PBE was carried out for a geometry-optimized Er6TmIn structure.

a b c (Å): 4.862 4.862 9.869
angles (deg): 90.00 90.00 90.00
Space group P4/mmm (No. 123)
Symmetry-distinct sites (fractional):
Er: 0.000 0.000 0.000 (multiplicity 1)
Er: 0.000 0.000 0.500 (multiplicity 1)
Er: 0.000 0.500 0.246 (multiplicity 4)
Tm: 0.500 0.500 0.500 (multiplicity 1)
In: 0.500 0.500 0.000 (multiplicity 1)

Results
The volume comes out at 29.16 Å³/atom. Its relative energy among the computed polymorphs is 0 meV per atom. The raw total energy comes out at -35.516 eV/cell.


Entry 4:
A plane-wave DFT calculation with PBE was carried out for a geometry-optimized GePb2O structure.

a b c (Å): 6.952 6.952 6.952
angles (deg): 90.00 90.00 90.00
Space group Fm-3m (No. 225)
Symmetry-distinct sites (fractional):
Ge: 0.000 0.000 0.000 (multiplicity 4)
Pb: 0.250 0.250 0.250 (multiplicity 8)
O: 0.000 0.000 0.500 (multiplicity 4)

Results
The volume comes out at 21.00 Å³/atom. Its relative energy among the computed polymorphs is 256 meV per atom. The raw total energy comes out at -66.307 eV/cell. The formation energy without anion corrections comes out at 10.0 kJ per mole of atoms.


Entry 5:
A plane-wave DFT calculation with PBE was carried out for a geometry-optimized MgScW3 structure.

a b c (Å): 4.637 4.637 4.637
angles (deg): 90.00 90.00 90.00
Space group Pm-3m (No. 221)
Symmetry-distinct sites (fractional):
Mg: 0.000 0.000 0.000 (multiplicity 1)
Sc: 0.500 0.500 0.500 (multiplicity 1)
W: 0.000 0.000 0.500 (multiplicity 3)

Results
The volume comes out at 19.94 Å³/atom. Its relative energy among the computed polymorphs is 0 meV per atom. The raw total energy comes out at -36.145 eV/cell.


Entry 6:
A plane-wave DFT calculation with PBE was carried out for a geometry-optimized Sr3CaCd structure.

a b c (Å): 6.373 6.373 6.373
angles (deg): 90.00 90.00 90.00
Space group Pm-3m (No. 221)
Symmetry-distinct sites (fractional):
Sr: 0.000 0.000 0.500 (multiplicity 3)
Ca: 0.500 0.500 0.500 (multiplicity 1)
Cd: 0.000 0.000 0.000 (multiplicity 1)

Results
The volume comes out at 51.78 Å³/atom. Its relative energy among the computed polymorphs is 116 meV per atom. The raw total energy comes out at -7.782 eV/cell.


Entry 7:
A plane-wave DFT calculation with PBE was carried out for a geometry-optimized PaGeS2N structure.

a b c (Å): 3.779 3.779 13.065
angles (deg): 90.00 90.00 90.00
Space group P4/nmm (No. 129, origin choice 2)
Symmetry-distinct sites (fractional):
Pa: 0.250 0.250 0.097 (multiplicity 2)
Ge: 0.250 0.250 0.596 (multiplicity 2)
S: 0.250 0.250 0.398 (multiplicity 2)
S: 0.250 0.250 0.806 (multiplicity 2)
N: 0.250 0.750 0.000 (multiplicity 2)

Results
The volume comes out at 18.65 Å³/atom. The raw total energy comes out at -73.089 eV/cell. The formation energy without anion corrections comes out at -112.9 kJ per mole of atoms.


Entry 8:
A plane-wave DFT calculation with PBE was carried out for a geometry-optimized K2SrTe structure.

a b c (Å): 4.383 5.774 16.453
angles (deg): 90.00 90.00 90.00
Space group Imm2 (No. 44)
Symmetry-distinct sites (fractional):
K: 0.000 0.000 0.000 (multiplicity 2)
K: 0.000 0.500 0.157 (multiplicity 2)
Sr: 0.000 0.000 0.329 (multiplicity 2)
Te: 0.000 0.500 0.680 (multiplicity 2)

Results
The volume comes out at 52.05 Å³/atom. The raw total energy comes out at -19.203 eV/cell. The formation energy without anion corrections comes out at -62.3 kJ per mole of atoms.


Entry 9:
A plane-wave DFT calculation with PBE was carried out for a geometry-optimized KTeF2 structure.

a b c (Å): 6.915 6.915 6.915
angles (deg): 90.00 90.00 90.00
Space group Fm-3m (No. 225)
Symmetry-distinct sites (fractional):
K: 0.000 0.000 0.000 (multiplicity 4)
Te: 0.000 0.000 0.500 (multiplicity 4)
F: 0.250 0.250 0.250 (multiplicity 8)

Results
The volume comes out at 20.67 Å³/atom. Its relative energy among the computed polymorphs is 672 meV per atom. The raw total energy comes out at -51.447 eV/cell. The formation energy without anion corrections comes out at -117.7 kJ per mole of atoms.


Entry 10:
A plane-wave DFT calculation with PBE was carried out for a geometry-optimized Eu3MgCo structure.

a b c (Å): 5.455 5.455 5.455
angles (deg): 90.00 90.00 90.00
Space group Pm-3m (No. 221)
Symmetry-distinct sites (fractional):
Eu: 0.000 0.000 0.500 (multiplicity 3)
Mg: 0.500 0.500 0.500 (multiplicity 1)
Co: 0.000 0.000 0.000 (multiplicity 1)

Results
The volume comes out at 32.47 Å³/atom. The raw total energy comes out at -39.144 eV/cell.


Entry 11:
A plane-wave DFT calculation with PBE was carried out for a geometry-optimized Rb6Na2Hg structure.

a b c (Å): 12.768 13.528 13.745
angles (deg): 90.00 90.00 90.00
Space group Immm (No. 71)
Symmetry-distinct sites (fractional):
Rb: 0.000 0.171 0.245 (multiplicity 8)
Rb: 0.171 0.500 0.237 (multiplicity 8)
Rb: 0.229 0.308 0.500 (multiplicity 8)
Na: 0.000 0.370 0.000 (multiplicity 4)
Na: 0.136 0.000 0.500 (multiplicity 4)
Hg: 0.000 0.000 0.000 (multiplicity 2)
Hg: 0.000 0.500 0.500 (multiplicity 2)

Results
The volume comes out at 65.95 Å³/atom. The raw total energy comes out at -35.464 eV/cell.


Entry 12:
A plane-wave DFT calculation with PBE was carried out for a geometry-optimized MnSbTe2Ir structure.

a b c (Å): 5.482 5.482 4.906
angles (deg): 90.00 90.00 90.00
Space group P4/mmm (No. 123)
Symmetry-distinct sites (fractional):
Mn: 0.000 0.000 0.000 (multiplicity 1)
Sb: 0.500 0.500 0.000 (multiplicity 1)
Te: 0.000 0.500 0.500 (multiplicity 2)
Ir: 0.500 0.500 0.500 (multiplicity 1)

Results
The volume comes out at 29.49 Å³/atom. Its relative energy among the computed polymorphs is 0 meV per atom. The raw total energy comes out at -24.915 eV/cell. The formation energy without anion corrections comes out at 68.0 kJ per mole of atoms.